Record 1
ZrNb2Rh2 | PBE-GGA | optimized geometry

Values from the calculation:
Energy above the most stable polymorph in this dataset, kJ/mol of atoms: 4.8
Formation energy, meV per atom: -268
Total moment, μB per cell: 0.00

Cell lengths 7.8126, 7.8126, 2.9011 Å; angles 90.00, 90.00, 90.00 degrees
Closest atoms and distances in Å follow each position.
Space group P4/mbm (No. 127)
Asymmetric unit:
Zr (0.0000, 0.0000, 0.0000)  2 Zr 2.90, 4 Nb 2.96
Nb (0.1532, 0.3468, 0.0000)  6 Rh 2.67-2.74, 2 Nb 2.90, 2 Zr 2.96
Rh (0.1436, 0.6436, 0.5000)  6 Nb 2.67-2.74, 2 Rh 2.90


Record 2
Zr4NbRh3 | PBE-GGA | optimized geometry

Values from the calculation:
Formation energy, meV per atom: -585
Total moment, μB per cell: 0.00

Cell lengths 3.3591, 3.3591, 13.1634 Å; angles 90.00, 90.00, 90.00 degrees
Closest atoms and distances in Å follow each position.
Space group P4/mmm (No. 123)
Asymmetric unit:
Zr (0.0000, 0.0000, 0.1227)  8 Rh 2.82-2.87
Zr (0.0000, 0.0000, 0.3684)  4 Rh 2.93, 4 Nb 2.94, 1 Zr 3.23
Nb (0.5000, 0.5000, 0.5000)  8 Zr 2.94
Rh (0.5000, 0.5000, 0.0000)  8 Zr 2.87, 2 Rh 3.14
Rh (0.5000, 0.5000, 0.2382)  8 Zr 2.82-2.93, 1 Rh 3.14


Record 3
ZrNb2Rh2 | PBE-GGA | optimized geometry

Values from the calculation:
Energy above the most stable polymorph in this dataset, kJ/mol of atoms: 0.0
Formation energy, meV per atom: -317
Total moment, μB per cell: 0.00

Cell lengths 7.6175, 7.6175, 3.0582 Å; angles 90.00, 90.00, 90.00 degrees
Closest atoms and distances in Å follow each position.
Space group P4/mbm (No. 127)
Asymmetric unit:
Zr (0.0000, 0.0000, 0.0000)  4 Rh 2.99, 2 Zr 3.06, 8 Nb 3.21
Nb (0.1701, 0.3299, 0.5000)  6 Rh 2.65-2.76
Rh (0.1285, 0.6285, 0.0000)  6 Nb 2.65-2.76, 1 Rh 2.77


Record 4
ZrNb2Rh | PBE-GGA | optimized geometry

Values from the calculation:
Energy above the most stable polymorph in this dataset, kJ/mol of atoms: 27.5
Formation energy, meV per atom: 150
Total moment, μB per cell: 0.00

Cell lengths 7.6348, 7.6348, 5.3850 Å; angles 90.00, 90.00, 90.00 degrees
Closest atoms and distances in Å follow each position.
Space group I-42d (No. 122)
Asymmetric unit:
Zr (0.0000, 0.0000, 0.0000)  2 Rh 2.69, 4 Nb 2.97
Nb (0.2157, 0.2500, 0.6250)  2 Rh 2.61, 2 Nb 2.74
Rh (0.0000, 0.0000, 0.5000)  4 Nb 2.61, 2 Zr 2.69


Record 5
Zr2NbRh2 | PBE-GGA | optimized geometry

Values from the calculation:
Energy above the most stable polymorph in this dataset, kJ/mol of atoms: 11.6
Formation energy, meV per atom: -314
Total moment, μB per cell: 0.01

Cell lengths 7.7938, 7.7938, 3.0519 Å; angles 90.00, 90.00, 90.00 degrees
Closest atoms and distances in Å follow each position.
Space group P4/mbm (No. 127)
Asymmetric unit:
Zr (0.1554, 0.3446, 0.0000)  6 Rh 2.68-2.80, 2 Nb 2.95
Nb (0.0000, 0.0000, 0.0000)  4 Zr 2.95, 2 Nb 3.05
Rh (0.1451, 0.6451, 0.5000)  6 Zr 2.68-2.80


Record 6
ZrNbRh | PBE-GGA | optimized geometry

Values from the calculation:
Energy above the most stable polymorph in this dataset, kJ/mol of atoms: 24.1
Formation energy, meV per atom: -125
Total moment, μB per cell: 0.00

Cell lengths 4.5680, 4.5680, 19.5022 Å; angles 90.00, 90.00, 120.00 degrees
Closest atoms and distances in Å follow each position.
Space group R-3m (No. 166, hexagonal axes)
Asymmetric unit:
Zr (0.0000, 0.0000, 0.1240)  3 Rh 2.69
Nb (0.0000, 0.0000, 0.3009)  1 Rh 2.51
Rh (0.0000, 0.0000, 0.4298)  1 Nb 2.51, 3 Zr 2.69, 1 Rh 2.74


Record 7
Zr2Nb2Rh | PBE-GGA | optimized geometry

Values from the calculation:
Energy above the most stable polymorph in this dataset, kJ/mol of atoms: 0.0
Formation energy, meV per atom: -360
Total moment, μB per cell: 0.00

Cell lengths 3.3581, 3.3581, 16.7930 Å; angles 90.00, 90.00, 90.00 degrees
Closest atoms and distances in Å follow each position.
Space group I4/mmm (No. 139)
Asymmetric unit:
Zr (0.0000, 0.0000, 0.0971)  4 Rh 2.88, 4 Nb 2.99
Nb (0.0000, 0.0000, 0.2948)  4 Nb 2.81, 4 Zr 2.99
Rh (0.0000, 0.0000, 0.5000)  8 Zr 2.88


Record 8
ZrNbRh | PBE-GGA | optimized geometry

Values from the calculation:
Energy above the most stable polymorph in this dataset, kJ/mol of atoms: 19.0
Formation energy, meV per atom: -177
Total moment, μB per cell: 0.00

Cell lengths 4.6102, 4.6102, 2.9121 Å; angles 90.00, 90.00, 120.00 degrees
Closest atoms and distances in Å follow each position.
Space group P3m1 (No. 156)
Asymmetric unit:
Zr (0.0000, 0.0000, 0.0000)  3 Rh 2.84, 3 Nb 2.85, 2 Zr 2.91
Nb (0.3333, 0.6667, 0.3510)  3 Rh 2.81, 3 Zr 2.85, 2 Nb 2.91
Rh (0.6667, 0.3333, 0.6552)  3 Nb 2.81, 3 Zr 2.84, 2 Rh 2.91


Record 9
Zr2NbRh2 | PBE-GGA | optimized geometry

Values from the calculation:
Energy above the most stable polymorph in this dataset, kJ/mol of atoms: 0.0
Formation energy, meV per atom: -434
Total moment, μB per cell: 0.00

Cell lengths 7.4344, 7.4344, 3.3730 Å; angles 90.00, 90.00, 90.00 degrees
Closest atoms and distances in Å follow each position.
Space group P4/mbm (No. 127)
Asymmetric unit:
Zr (0.1713, 0.3287, 0.0000)  6 Rh 2.68-2.82
Nb (0.0000, 0.0000, 0.5000)  4 Rh 2.91, 8 Zr 3.23
Rh (0.1304, 0.6304, 0.5000)  6 Zr 2.68-2.82, 1 Rh 2.74, 2 Nb 2.91


Record 10
Zr6NbRh5 | PBE-GGA | optimized geometry

Values from the calculation:
Formation energy, meV per atom: -655
Total moment, μB per cell: 0.00

Cell lengths 4.6675, 6.7138, 13.9689 Å; angles 90.00, 90.00, 90.00 degrees
Closest atoms and distances in Å follow each position.
Space group Immm (No. 71)
Asymmetric unit:
Zr (0.0000, 0.2484, 0.0000)  6 Rh 2.87-2.89, 2 Nb 2.88
Zr (0.0000, 0.2507, 0.3328)  7 Rh 2.84-2.88, 1 Nb 2.88
Nb (0.0000, 0.0000, 0.5000)  8 Zr 2.88
Rh (0.0000, 0.0000, 0.1692)  8 Zr 2.84-2.89
Rh (0.0000, 0.5000, 0.1669)  8 Zr 2.86-2.88
Rh (0.0000, 0.5000, 0.5000)  8 Zr 2.87


Record 11
Zr3NbRh | PBE-GGA | optimized geometry

Values from the calculation:
Energy above the most stable polymorph in this dataset, kJ/mol of atoms: 0.0
Formation energy, meV per atom: 533
Total moment, μB per cell: 0.66

Cell lengths 4.9711, 4.9711, 4.9711 Å; angles 90.00, 90.00, 90.00 degrees
Closest atoms and distances in Å follow each position.
Space group Pm-3m (No. 221)
Asymmetric unit:
Zr (0.0000, 0.0000, 0.5000)  2 Rh 2.49
Nb (0.5000, 0.5000, 0.5000)  12 Zr 3.52
Rh (0.0000, 0.0000, 0.0000)  6 Zr 2.49


Record 12
ZrNbRh | PBE-GGA | optimized geometry

Values from the calculation:
Energy above the most stable polymorph in this dataset, kJ/mol of atoms: 0.0
Formation energy, meV per atom: -375
Total moment, μB per cell: 0.00

Cell lengths 3.2749, 3.2749, 10.2448 Å; angles 90.00, 90.00, 90.00 degrees
Closest atoms and distances in Å follow each position.
Space group I4mm (No. 107)
Asymmetric unit:
Zr (0.0000, 0.0000, 0.0000)  4 Rh 2.87, 4 Nb 2.99
Nb (0.0000, 0.0000, 0.6844)  4 Rh 2.78, 4 Zr 2.99
Rh (0.0000, 0.0000, 0.3339)  4 Nb 2.78, 4 Zr 2.87


Record 13
Nb13Ru2 | PBE-GGA | optimized geometry

Values from the calculation:
Formation energy, meV per atom: 77
Total moment, μB per cell: 0.00

Cell lengths 6.2953, 7.3809, 7.5095 Å; angles 100.22, 113.14, 112.32 degrees
Closest atoms and distances in Å follow each position.
Space group P-1 (No. 2)
Asymmetric unit:
Nb (0.0000, 0.0000, 0.0000)  8 Nb 2.76-3.07, 2 Ru 2.78
Nb (0.0908, 0.3732, 0.5952)  2 Ru 2.71-2.73, 6 Nb 2.75-2.99
Nb (0.1939, 0.0654, 0.6995)  6 Nb 2.70-3.02
Nb (0.2677, 0.8539, 0.2711)  4 Nb 2.76-2.90
Nb (0.3250, 0.4796, 0.0673)  1 Ru 2.47, 1 Nb 2.71
Nb (0.4414, 0.2922, 0.4545)  6 Nb 2.75-3.07, 2 Ru 2.84-2.93
Nb (0.4436, 0.8126, 0.8717)  1 Ru 2.49, 1 Nb 2.72
Ru (0.0280, 0.3655, 0.2119)  4 Nb 2.47-2.73